# 1
Entry from Alexandria: a relaxed structure of Ce6Tl12In (GGA-PBE).

Unit cell a=8.858 b=8.858 c=8.858 alpha=107.54 beta=107.54 gamma=107.54
Positions (direct):
Ce1 0.052 0.421 0.308
Ce2 0.308 0.052 0.421
Ce3 0.421 0.308 0.052
Ce4 0.579 0.692 0.948
Ce5 0.692 0.948 0.579
Ce6 0.948 0.579 0.692
Tl1 0.023 0.311 0.910
Tl2 0.090 0.977 0.689
Tl3 0.206 0.356 0.662
Tl4 0.311 0.910 0.023
Tl5 0.338 0.794 0.644
Tl6 0.356 0.662 0.206
Tl7 0.644 0.338 0.794
Tl8 0.662 0.206 0.356
Tl9 0.689 0.090 0.977
Tl10 0.794 0.644 0.338
Tl11 0.910 0.023 0.311
Tl12 0.977 0.689 0.090
In1 0.500 0.500 0.500

---

# 2
Entry from Alexandria: a relaxed structure of ZrTiF (GGA-PBE).

Results
Energy relative to the elements, uncorrected in eV/atom: -1.206

Unit cell a=5.751 b=5.751 c=8.086 alpha=131.42 beta=131.42 gamma=30.59
Positions (direct):
Zr1 0.089 0.089 0.403
Zr2 0.911 0.911 0.597
Ti1 0.222 0.222 0.181
Ti2 0.778 0.778 0.819
F1 0.371 0.371 0.100
F2 0.629 0.629 0.900

---

| no. | raw total energy (eV/cell) |
| --- | --- |
| 1 | -68.79 |
| 2 | -43.87 |